Record 1
A relaxed Y2Th5Sc12 crystal, computed with GGA-PBE.

* formation energy from the elements: 0.1097 eV per atom

a b c (Å): 10.689 13.520 9.804
angles (deg): 147.16 90.00 113.28
Sites, in units of the cell vectors:
Th  0.664  0.328  0.932
Th  0.266  0.532  0.558
Th  0.000  0.000  0.500
Th  0.734  0.468  0.442
Th  0.336  0.672  0.068
Sc  0.140  0.784  0.388
Sc  0.645  0.784  0.388
Sc  0.860  0.216  0.612
Sc  0.031  0.062  0.245
Sc  0.399  0.367  0.134
Sc  0.394  0.789  0.543
Sc  0.601  0.633  0.866
Sc  0.968  0.367  0.134
Sc  0.606  0.211  0.457
Sc  0.969  0.938  0.755
Sc  0.032  0.633  0.866
Sc  0.355  0.216  0.612
Y  0.265  0.000  0.000
Y  0.735  0.000  0.000

=====

Record 2
A relaxed AcEuPtAu crystal, computed with GGA-PBE.

* formation energy from the elements: -0.8772 eV per atom

a b c (Å): 5.315 5.315 5.315
angles (deg): 60.00 60.00 60.00
Sites, in units of the cell vectors:
Eu  0.250  0.250  0.250
Pt  0.000  0.000  0.000
Ac  0.750  0.750  0.750
Au  0.500  0.500  0.500

=====

Size of the total moment across the listed records, respectively: 0.00; 7.15 μB/f.u..
Calculated density across the listed records, respectively: 5.9; 12.1 g cm⁻³.